Record 1
A plane-wave DFT calculation with GGA-PBE was carried out for a geometry-optimized MgAl2W2 structure.

Output
- Formation energy from the elements: 256 meV per atom
- DFT total energy: -6.741 eV per atom
- SG: P4/mbm (127)

Unit cell a=7.0278 b=7.0278 c=3.2738 alpha=90.00 beta=90.00 gamma=90.00
Sites, in units of the cell vectors:
Mg (0.0000, 0.0000, 0.0000)
Mg (0.5000, 0.5000, 0.0000)
Al (0.1273, 0.3727, 0.0000)
Al (0.3727, 0.8727, 0.0000)
Al (0.6273, 0.1273, 0.0000)
Al (0.8727, 0.6273, 0.0000)
W (0.1689, 0.6689, 0.5000)
W (0.3311, 0.1689, 0.5000)
W (0.6689, 0.8311, 0.5000)
W (0.8311, 0.3311, 0.5000)

=====

Record 2
A plane-wave DFT calculation with GGA-PBE was carried out for a geometry-optimized Ba2Br2F structure.

Output
- Formation energy without anion corrections: -1.58 eV/atom
- DFT total energy: -3.395 eV per atom
- SG: P4/mmm (123)

Unit cell a=6.2010 b=6.2010 c=15.1164 alpha=90.00 beta=90.00 gamma=90.00
Sites, in units of the cell vectors:
Ba (0.0000, 0.0000, 0.1644)
Ba (0.0000, 0.0000, 0.8356)
Br (0.0000, 0.0000, 0.3546)
Br (0.0000, 0.0000, 0.6454)
F (0.0000, 0.0000, 0.0000)

=====

Record 3
A plane-wave DFT calculation with GGA-PBE was carried out for a geometry-optimized Tb4PSeS2 structure.

Output
- Formation energy without anion corrections: -1.90 eV/atom
- DFT total energy: -6.357 eV per atom
- SG: P2/m (10)

Unit cell a=6.8845 b=3.9834 c=6.9846 alpha=90.00 beta=109.23 gamma=90.00
Sites, in units of the cell vectors:
Tb (0.2412, 0.0000, 0.2316)
Tb (0.2517, 0.5000, 0.7642)
Tb (0.7483, 0.5000, 0.2358)
Tb (0.7588, 0.0000, 0.7684)
P (0.5000, 0.0000, 0.0000)
Se (0.5000, 0.5000, 0.5000)
S (0.0000, 0.0000, 0.5000)
S (0.0000, 0.5000, 0.0000)

=====

Record 4
A plane-wave DFT calculation with GGA-PBE was carried out for a geometry-optimized Pr5CoPb2 structure.

Output
- Formation energy from the elements: -165 meV per atom
- DFT total energy: -4.967 eV per atom
- SG: Cmcm (63)

Unit cell a=5.9844 b=5.9844 c=16.1290 alpha=90.00 beta=90.00 gamma=118.84
Sites, in units of the cell vectors:
Pr (0.0806, 0.9194, 0.6233)
Pr (0.0806, 0.9194, 0.8767)
Pr (0.2500, 0.7500, 0.2500)
Pr (0.4192, 0.5808, 0.6235)
Pr (0.4192, 0.5808, 0.8765)
Pr (0.5808, 0.4192, 0.1235)
Pr (0.5808, 0.4192, 0.3765)
Pr (0.7500, 0.2500, 0.7500)
Pr (0.9194, 0.0806, 0.1233)
Pr (0.9194, 0.0806, 0.3767)
Co (0.2497, 0.7503, 0.7500)
Co (0.7503, 0.2497, 0.2500)
Pb (0.2502, 0.7498, 0.0510)
Pb (0.2502, 0.7498, 0.4490)
Pb (0.7498, 0.2502, 0.5510)
Pb (0.7498, 0.2502, 0.9490)

=====

Record 5
A plane-wave DFT calculation with GGA-PBE was carried out for a geometry-optimized Ac5InHg4 structure.

Output
- Formation energy from the elements: -461 meV per atom
- DFT total energy: -2.910 eV per atom
- SG: P4/mmm (123)

Unit cell a=4.0501 b=4.0501 c=20.3597 alpha=90.00 beta=90.00 gamma=90.00
Sites, in units of the cell vectors:
Ac (0.0000, 0.0000, 0.0000)
Ac (0.0000, 0.0000, 0.1985)
Ac (0.0000, 0.0000, 0.3980)
Ac (0.0000, 0.0000, 0.6020)
Ac (0.0000, 0.0000, 0.8015)
In (0.5000, 0.5000, 0.5000)
Hg (0.5000, 0.5000, 0.0996)
Hg (0.5000, 0.5000, 0.2984)
Hg (0.5000, 0.5000, 0.7016)
Hg (0.5000, 0.5000, 0.9004)

=====

Record 6
A plane-wave DFT calculation with GGA-PBE was carried out for a geometry-optimized Li2VSe2 structure.

Output
- Formation energy without anion corrections: -0.70 eV/atom
- DFT total energy: -4.681 eV per atom
- SG: P4/mbm (127)

Unit cell a=6.9779 b=6.9779 c=3.7031 alpha=90.00 beta=90.00 gamma=90.00
Sites, in units of the cell vectors:
Li (0.1363, 0.3637, 0.0000)
Li (0.3637, 0.8637, 0.0000)
Li (0.6363, 0.1363, 0.0000)
Li (0.8637, 0.6363, 0.0000)
V (0.0000, 0.0000, 0.5000)
V (0.5000, 0.5000, 0.5000)
Se (0.1751, 0.6751, 0.5000)
Se (0.3249, 0.1751, 0.5000)
Se (0.6751, 0.8249, 0.5000)
Se (0.8249, 0.3249, 0.5000)